Entry from Alexandria via LeMat-Bulk: an optimized crystal structure of ZrSc2Br (PBE).

Values from the calculation:
* formation energy (no corrections): -1 kJ per mole of atoms
* space-group type: Pmmm (47)
* distance to the lowest polymorph of the same formula: 10.45 kcal/mol of atoms
* DOS(E_F): 4.3 states/eV per cell
* spin magnetization: 0.00 μB per formula unit

Cell: 3.2571 5.4086 5.2532 Å, 90.00 90.00 90.00°
Closest atoms and distances in Å follow each position.
Sites, in units of the cell vectors:
Br: 0.0000 0.5000 0.5000  4 Sc 3.09, 4 Zr 3.16, 2 Br 3.26
Sc: 0.0000 0.0000 0.0000  4 Zr 3.09, 6 Sc 3.16-3.26
Sc: 0.5000 0.5000 0.0000  4 Br 3.09, 6 Sc 3.16-3.26
Zr: 0.5000 0.0000 0.5000  4 Sc 3.09, 4 Br 3.16, 2 Zr 3.26